First-principles (PBE) data for crystalline SbPdSe2Br at its relaxed geometry, as listed in Alexandria.

## Properties
symmetry: P4/mmm (123)
uncorrected formation energy: 1.049 eV/f.u.
total magnetic moment: 0.00 μB/f.u.
raw total energy: -3.3815 eV per atom
relative energy among the computed polymorphs: 0.000 eV/f.u.

```
5
Lattice="5.002 0.000 0.000 0.000 5.002 0.000 0.000 0.000 4.978" Properties=species:S:1:pos:R:3 pbc="T T T"
Sb 2.501 2.501 2.489
Se 0.000 2.501 0.000
Se 2.501 0.000 0.000
Br 0.000 0.000 2.489
Pd 0.000 0.000 0.000
```

---

First-principles (PBE) data for crystalline Ac12CdSi5 at its relaxed geometry, as listed in Alexandria.

## Properties
symmetry: Immm (71)
uncorrected formation energy: -6.294 eV/f.u.
total magnetic moment: 0.00 μB/f.u.
raw total energy: -4.6459 eV per atom

```
18
Lattice="-3.998 -8.360 1.296 8.676 -1.013 -3.354 0.715 4.662 8.081" Properties=species:S:1:pos:R:3 pbc="T T T"
Ac 5.456 -2.059 3.851
Ac -0.063 -2.652 2.172
Ac -1.571 -4.350 6.479
Ac 6.964 -0.361 -0.456
Ac 3.354 -4.783 1.719
Ac 2.039 0.072 4.304
Ac 5.401 1.379 5.996
Ac -0.008 -6.090 0.027
Ac 2.280 -3.702 5.331
Ac 3.113 -1.009 0.692
Ac 8.133 0.942 3.219
Ac -2.740 -5.653 2.804
Cd 4.696 1.824 2.364
Si 2.897 -5.804 -1.275
Si 1.781 -3.569 -0.784
Si -0.620 -1.452 5.202
Si 6.013 -3.259 0.820
Si 0.000 0.000 0.000
```

---

First-principles (PBE) data for crystalline CsLa2CoRh at its relaxed geometry, as listed in Alexandria.

## Properties
symmetry: P4/mmm (123)
formation energy: 1458 meV/atom
total magnetic moment: 1.08 μB/f.u.
raw total energy: -3.5750 eV per atom

```
5
Lattice="5.794 0.000 0.000 0.000 4.545 0.000 0.000 0.000 5.794" Properties=species:S:1:pos:R:3 pbc="T T T"
Cs 0.000 0.000 0.000
Co 0.000 2.273 0.000
Rh 2.897 2.273 2.897
La 0.000 0.000 2.897
La 2.897 0.000 0.000
```

---

First-principles (PBE) data for crystalline Be4SbRu at its relaxed geometry, as listed in Alexandria.

## Properties
symmetry: F-43m (216)
uncorrected formation energy: -0.318 eV/f.u.
total magnetic moment: 0.00 μB/f.u.
raw total energy: -4.7702 eV per atom

```
6
Lattice="0.000 3.218 3.218 3.218 0.000 3.218 3.218 3.218 0.000" Properties=species:S:1:pos:R:3 pbc="T T T"
Be 2.432 4.003 4.003
Be 4.003 4.003 2.432
Be 4.003 2.432 4.003
Be 2.432 2.432 2.432
Sb 0.000 0.000 0.000
Ru 4.826 4.826 4.826
```

---

First-principles (PBE) data for crystalline LiCdRu2 at its relaxed geometry, as listed in Alexandria.

## Properties
symmetry: P4mm (99)
formation energy: 84 meV/atom
total magnetic moment: 0.00 μB/f.u.
raw total energy: -5.2615 eV per atom

```
4
Lattice="2.902 0.000 0.000 0.000 2.902 0.000 0.000 0.000 7.121" Properties=species:S:1:pos:R:3 pbc="T T T"
Cd 0.000 0.000 3.643
Li 1.451 1.451 5.471
Ru 0.000 0.000 0.009
Ru 1.451 1.451 1.558
```

---

First-principles (PBE) data for crystalline SrTaS2 at its relaxed geometry, as listed in Alexandria.

## Properties
symmetry: R-3m (166)
uncorrected formation energy: -3.029 eV/f.u.
total magnetic moment: 0.00 μB/f.u.
raw total energy: -6.2045 eV per atom
relative energy among the computed polymorphs: 0.235 eV/f.u.

```
4
Lattice="2.061 0.000 8.881 -1.031 1.785 8.881 -1.031 -1.785 8.881" Properties=species:S:1:pos:R:3 pbc="T T T"
Sr 0.000 0.000 0.000
S 0.000 0.000 23.666
S 0.000 0.000 2.976
Ta 0.000 0.000 13.321
```